This record from Alexandria via LeMat-Bulk describes crystalline MoPdO4 at its relaxed geometry. The functional is PBE with a Hubbard U.

Results
Magnetic moment = 0.00 μB/f.u.
Density = 6.3 g/cm³
DFT total energy = -6.357 eV per atom
Crystal system = monoclinic

a b c (Å): 5.6632 4.8168 5.4306
angles (deg): 90.00 107.61 90.00
Last column: nearest neighbours and their distance in Å.
Fractional positions:
Mo 0.0000 0.0000 0.0000  6 O 1.90-1.98
Mo 0.0000 0.5000 0.5000  6 O 1.90-1.98
Pd 0.5000 0.0000 0.5000  4 O 2.05-2.13
Pd 0.5000 0.5000 0.0000  4 O 2.05-2.13
O 0.0940 0.1917 0.7255  2 Mo 1.90-1.96
O 0.0940 0.3083 0.2255  2 Mo 1.90-1.96
O 0.3368 0.6593 0.6383  1 Mo 1.98, 2 Pd 2.05-2.13
O 0.3368 0.8407 0.1383  1 Mo 1.98, 2 Pd 2.05-2.13
O 0.6632 0.1593 0.8617  1 Mo 1.98, 2 Pd 2.05-2.13
O 0.6632 0.3407 0.3617  1 Mo 1.98, 2 Pd 2.05-2.13
O 0.9060 0.6917 0.7745  2 Mo 1.90-1.96
O 0.9060 0.8083 0.2745  2 Mo 1.90-1.96